Below is an optimized crystal structure of Sr2EuPb, with properties calculated at the GGA-PBE level.

extended XYZ file:
```
4
Lattice="-2.8012 -1.5871 2.2968 0.6372 -3.4723 1.7827 4.4080 4.7502 12.0632" Properties=species:S:1:pos:R:3 pbc="T T T"
Pb 0.0000 0.0000 0.0000
Sr 3.1236 3.1384 9.3830
Sr -0.8795 -3.4476 6.7598
Eu 1.1220 -0.1546 8.0714
```

Values from the calculation:
Space group: R-3m
Size of the total moment: 7.405 μB per cell
Energy: -4.25 eV/atom
ρ: 4.85 Mg/m³


Below is an optimized crystal structure of Pm12PrY7, with properties calculated at the GGA-PBE level.

extended XYZ file:
```
20
Lattice="8.8409 0.5605 0.8413 -1.9199 8.6481 0.8413 -1.9199 -2.5545 8.3049" Properties=species:S:1:pos:R:3 pbc="T T T"
Pm 5.3178 4.1428 3.0397
Pm -0.3169 5.4444 4.9940
Pm 2.6934 3.5845 8.6415
Pm 2.5008 0.3941 6.9479
Pm 2.3077 3.0697 1.3460
Pm 5.5853 4.4208 6.6363
Pm -0.3167 2.5113 6.9478
Pm -0.5842 2.2333 3.3512
Pm 2.3069 0.0596 3.3518
Pm 5.3179 1.2097 4.9936
Pm 2.6942 6.5945 6.6357
Pm 2.5003 6.2601 3.0397
Pr 0.0000 0.0000 0.0000
Y -0.5796 -0.7707 5.6478
Y -0.5792 5.5090 1.4637
Y 5.5807 7.4248 4.3398
Y 2.5005 3.3271 4.9938
Y -0.4517 5.6790 8.5235
Y 5.5802 1.1451 8.5238
Y 5.4528 0.9751 1.4640
```

Values from the calculation:
Space group: R-3m
Size of the total moment: 2.525 μB per cell
Energy: -5.25 eV/atom
ρ: 6.11 Mg/m³